First-principles (PBE) data for a geometry-optimized Tb2Sm4Dy3 structure, as listed in the Alexandria database.

Output
Formation enthalpy at 0 K = 15 meV per atom
Uncorrected energy = -4.646 eV per atom
Space group = No. 12

```
9
Lattice="3.585 0.000 0.000 -1.792 5.870 0.862 0.000 4.398 14.540" Properties=species:S:1:pos:R:3 pbc="T T T"
Tb 0.000 4.892 3.816
Tb 1.792 5.377 11.586
Sm 1.792 2.445 1.906
Sm 0.000 2.931 9.681
Sm 1.792 7.338 5.721
Sm 0.000 7.824 13.496
Dy 0.000 6.351 8.646
Dy 0.000 0.000 0.000
Dy 1.792 3.918 6.756
```